U2TlCoO8 | PBE+U | optimized geometry

Output
Total magnetization in μB/f.u.: 3.5
Crystal system: tetragonal
SG: I-4, No. 82
DOS(E_F) in states/eV/f.u.: 5.40
V in Å³ per cell: 151.5
Total energy in eV per cell: -96.03

Cell: 5.3402 5.3402 6.5175 Å, 114.18 114.18 90.00°
Site moments in Bohr magnetons follow the coordinates.
Fractional coordinates of all 12 atoms:
O (0.1480, 0.5673, 0.7035)  0.00
O (0.1641, 0.1121, 0.8065)  0.01
O (0.5555, 0.1361, 0.7035)  0.00
Tl (0.7500, 0.2500, 0.5000)  0.05
O (0.4327, 0.4445, 0.2965)  0.00
U (0.2500, 0.7500, 0.5000)  0.34
U (0.5000, 0.5000, 0.0000)  0.31
O (0.8639, 0.8520, 0.2965)  0.00
O (0.6425, 0.6944, 0.8065)  0.01
O (0.8879, 0.3575, 0.1935)  0.01
Co (0.0000, 0.0000, 0.0000)  2.70
O (0.3056, 0.8359, 0.1935)  0.01